Entry 1:
! PBE SrTc4Au, relaxed; values from VASP
&SYSTEM
  ibrav = 0, nat = 6, ntyp = 3
/
ATOMIC_SPECIES
Sr 87.62 Sr.upf
Tc 98.00 Tc.upf
Au 196.97 Au.upf
CELL_PARAMETERS angstrom
0.000 3.782 3.782
3.782 0.000 3.782
3.782 3.782 0.000
ATOMIC_POSITIONS angstrom
Sr 0.000 0.000 0.000
Tc 4.721 2.843 2.843
Tc 2.843 4.721 2.843
Tc 2.843 2.843 4.721
Tc 4.721 4.721 4.721
Au 1.891 1.891 1.891
! energy relative to the elements = 3.28 eV per formula unit
! space-group type = F-43m
! crystal system = cubic

Entry 2:
! PBE SrTc2Au, relaxed; values from VASP
&SYSTEM
  ibrav = 0, nat = 4, ntyp = 3
/
ATOMIC_SPECIES
Sr 87.62 Sr.upf
Tc 98.00 Tc.upf
Au 196.97 Au.upf
CELL_PARAMETERS angstrom
2.796 0.000 0.000
0.000 4.592 0.000
0.000 0.000 6.522
ATOMIC_POSITIONS angstrom
Sr 0.000 0.000 0.000
Tc 1.398 2.296 2.137
Tc 1.398 2.296 4.385
Au 0.000 0.000 3.261
! energy relative to the elements = 2.70 eV per formula unit
! space-group type = Pmmm
! crystal system = orthorhombic

Entry 3:
! PBE SrTc2Au, relaxed; values from VASP
&SYSTEM
  ibrav = 0, nat = 4, ntyp = 3
/
ATOMIC_SPECIES
Sr 87.62 Sr.upf
Tc 98.00 Tc.upf
Au 196.97 Au.upf
CELL_PARAMETERS angstrom
2.133 1.231 6.024
-2.133 1.231 6.024
0.000 -2.463 6.024
ATOMIC_POSITIONS angstrom
Sr 0.000 0.000 0.000
Tc 0.000 0.000 8.532
Tc 0.000 0.000 14.527
Au 0.000 0.000 3.867
! energy relative to the elements = 0.74 eV per formula unit
! space-group type = R3m
! crystal system = trigonal

Entry 4:
! PBE SrTc2Au, relaxed; values from VASP
&SYSTEM
  ibrav = 0, nat = 4, ntyp = 3
/
ATOMIC_SPECIES
Sr 87.62 Sr.upf
Tc 98.00 Tc.upf
Au 196.97 Au.upf
CELL_PARAMETERS angstrom
2.880 -4.863 0.000
2.880 4.863 0.000
0.000 0.000 2.676
ATOMIC_POSITIONS angstrom
Sr 0.000 0.000 0.000
Tc 1.440 2.432 1.338
Tc 1.440 -2.432 1.338
Au 2.880 0.000 0.000
! energy relative to the elements = 3.19 eV per formula unit
! space-group type = Cmmm
! crystal system = orthorhombic

Entry 5:
! PBE SrTc2Au, relaxed; values from VASP
&SYSTEM
  ibrav = 0, nat = 4, ntyp = 3
/
ATOMIC_SPECIES
Sr 87.62 Sr.upf
Tc 98.00 Tc.upf
Au 196.97 Au.upf
CELL_PARAMETERS angstrom
3.603 0.000 0.000
0.000 5.084 0.000
-0.390 0.000 4.754
ATOMIC_POSITIONS angstrom
Sr 0.000 0.000 0.000
Tc 1.228 2.542 3.646
Tc 1.985 2.542 1.108
Au 1.607 0.000 2.377
! energy relative to the elements = 2.47 eV per formula unit
! space-group type = P2/m
! crystal system = monoclinic

Entry 6:
! PBE SrTc2Au, relaxed; values from VASP
&SYSTEM
  ibrav = 0, nat = 4, ntyp = 3
/
ATOMIC_SPECIES
Sr 87.62 Sr.upf
Tc 98.00 Tc.upf
Au 196.97 Au.upf
CELL_PARAMETERS angstrom
2.831 -5.147 0.000
2.831 5.147 0.000
-1.006 0.000 2.581
ATOMIC_POSITIONS angstrom
Sr 0.000 0.000 0.000
Tc 0.912 2.574 1.290
Tc 0.912 -2.574 1.290
Au 2.831 0.000 0.000
! energy relative to the elements = 2.95 eV per formula unit
! space-group type = C2/m
! crystal system = monoclinic

Entry 7:
! PBE SrTc2Au, relaxed; values from VASP
&SYSTEM
  ibrav = 0, nat = 4, ntyp = 3
/
ATOMIC_SPECIES
Sr 87.62 Sr.upf
Tc 98.00 Tc.upf
Au 196.97 Au.upf
CELL_PARAMETERS angstrom
4.807 -1.900 0.000
4.807 1.900 0.000
-1.544 0.000 5.260
ATOMIC_POSITIONS angstrom
Sr 0.000 0.000 0.000
Tc 1.252 0.000 3.179
Tc 6.817 0.000 2.081
Au 4.035 0.000 2.630
! energy relative to the elements = 1.46 eV per formula unit
! space-group type = C2/m
! crystal system = monoclinic

Entry 8:
! PBE SrTc2Au, relaxed; values from VASP
&SYSTEM
  ibrav = 0, nat = 4, ntyp = 3
/
ATOMIC_SPECIES
Sr 87.62 Sr.upf
Tc 98.00 Tc.upf
Au 196.97 Au.upf
CELL_PARAMETERS angstrom
-1.921 2.356 4.924
1.921 -2.356 4.924
1.921 2.356 -4.924
ATOMIC_POSITIONS angstrom
Sr 0.000 0.000 0.000
Tc 1.921 0.000 2.517
Tc 0.000 0.000 3.850
Au 0.000 2.356 2.306
! energy relative to the elements = 2.02 eV per formula unit
! space-group type = Imm2
! crystal system = orthorhombic

In eV per atom, the DFT total energy values for the records above are, in order, -7.19, -5.75, -6.24, -5.63, -5.81, -5.69, -6.06, -5.92.